[1]
# AcTb5Se6, optimized geometry, DFT PBE
data_AcTb5Se6
_space_group_name_H-M_alt 'P 1'
_space_group_IT_number 1
_space_group_name_Hall 'P 1'
_cell_length_a 7.2071
_cell_length_b 7.2071
_cell_length_c 7.2219
_cell_angle_alpha 99.59
_cell_angle_beta 99.59
_cell_angle_gamma 120.23
loop_
_atom_site_label
_atom_site_type_symbol
_atom_site_fract_x
_atom_site_fract_y
_atom_site_fract_z
_atom_site_occupancy
Se1 Se 0.9129 0.5641 0.7388 1
Se2 Se 0.5641 0.9129 0.7388 1
Se3 Se 0.2648 0.2648 0.7469 1
Se4 Se 0.7352 0.7352 0.2531 1
Se5 Se 0.0871 0.4359 0.2612 1
Se6 Se 0.4359 0.0871 0.2612 1
Tb1 Tb 0.5000 0.5000 0.5000 1
Tb2 Tb 0.3329 0.6671 0.0000 1
Tb3 Tb 0.6671 0.3329 0.0000 1
Tb4 Tb 0.8414 0.1586 0.5000 1
Tb5 Tb 0.1586 0.8414 0.5000 1
Ac1 Ac 0.0000 0.0000 0.0000 1
# - ΔE_f (raw): -21.229 eV/f.u.
# - Space group: C2/m



[2]
# HoAl2Pd7, optimized geometry, DFT PBE
data_HoAl2Pd7
_space_group_name_H-M_alt 'P 1'
_space_group_IT_number 1
_space_group_name_Hall 'P 1'
_cell_length_a 4.5126
_cell_length_b 7.0413
_cell_length_c 7.0413
_cell_angle_alpha 117.33
_cell_angle_beta 90.00
_cell_angle_gamma 90.00
loop_
_atom_site_label
_atom_site_type_symbol
_atom_site_fract_x
_atom_site_fract_y
_atom_site_fract_z
_atom_site_occupancy
Pd1 Pd 0.0000 0.7709 0.2291 1
Pd2 Pd 0.5000 0.0670 0.3107 1
Pd3 Pd 0.5000 0.9330 0.6893 1
Pd4 Pd 0.5000 0.3107 0.0670 1
Pd5 Pd 0.0000 0.2291 0.7709 1
Pd6 Pd 0.5000 0.5000 0.5000 1
Pd7 Pd 0.5000 0.6893 0.9330 1
Al1 Al 0.5000 0.7000 0.3000 1
Al2 Al 0.5000 0.3000 0.7000 1
Ho1 Ho 0.0000 0.0000 0.0000 1
# - Electronic total energy: -5.21 eV per atom
# - Space group: Cmmm



[3]
# In2Ga2Ag7Sn, optimized geometry, DFT PBE
data_In2Ga2Ag7Sn
_space_group_name_H-M_alt 'P 1'
_space_group_IT_number 1
_space_group_name_Hall 'P 1'
_cell_length_a 4.2661
_cell_length_b 4.2661
_cell_length_c 14.5672
_cell_angle_alpha 73.02
_cell_angle_beta 73.02
_cell_angle_gamma 92.49
loop_
_atom_site_label
_atom_site_type_symbol
_atom_site_fract_x
_atom_site_fract_y
_atom_site_fract_z
_atom_site_occupancy
In1 In 0.8208 0.8208 0.6806 1
In2 In 0.1792 0.1792 0.3194 1
Ag1 Ag 0.3329 0.8347 0.1629 1
Ag2 Ag 0.2611 0.2611 0.4989 1
Ag3 Ag 0.6671 0.1653 0.8371 1
Ag4 Ag 0.5000 0.5000 0.0000 1
Ag5 Ag 0.7389 0.7389 0.5011 1
Ag6 Ag 0.1653 0.6671 0.8371 1
Ag7 Ag 0.8347 0.3329 0.1629 1
Ga1 Ga 0.6822 0.6822 0.3180 1
Ga2 Ga 0.3178 0.3178 0.6820 1
Sn1 Sn 0.0000 0.0000 0.0000 1
# - Electronic total energy: -2.92 eV per atom
# - Space group: C2/m